# KTbCdO3, optimized geometry, DFT PBE
# * total DFT energy (no corrections): -33.62 eV/f.u.
# * V: 17.85 Å³/atom
data_KTbCdO3
_chemical_formula_sum 'K4 Tb4 Cd4 O12'
_cell_length_a 3.602
_cell_length_b 12.974
_cell_length_c 9.166
_cell_angle_alpha 90.00
_cell_angle_beta 90.00
_cell_angle_gamma 90.00
_symmetry_space_group_name_H-M 'C m c m'
_symmetry_Int_Tables_number 63
_symmetry_space_group_name_Hall '-C 2c 2'
loop_
_atom_site_label
_atom_site_type_symbol
_atom_site_fract_x
_atom_site_fract_y
_atom_site_fract_z
K1 K 0.000 0.182 0.250
Tb1 Tb 0.000 0.500 0.000
Cd1 Cd 0.000 0.097 0.750
O1 O 0.000 0.113 0.523
O2 O 0.000 0.478 0.750